ScPaOs2 | PBE | optimized geometry

Geometry as POSCAR:
```
ScPaOs2
1.0
0.000 3.352 3.352
3.352 0.000 3.352
3.352 3.352 0.000
Sc Pa Os
1 1 2
Cartesian
0.000 0.000 0.000
3.352 3.352 3.352
1.676 1.676 1.676
5.028 5.028 5.028
```

Properties
The value obtained for the magnetization is 0.00 μB per formula unit. The value obtained for the density of states at the Fermi level is 0.811 states/eV per atom. The offset from the most stable computed form comes out at 5.3 kJ/mol of atoms. The value obtained for the theoretical density is 14.473 g cm⁻³.